# 1
The following is a DFT calculation (PBE-GGA) of ZrTi3N after structural relaxation.

```
data_ZrTi3N
_chemical_formula_sum 'Zr1 Ti3 N1'
_cell_length_a 4.2497
_cell_length_b 4.2497
_cell_length_c 4.2497
_cell_angle_alpha 90.00
_cell_angle_beta 90.00
_cell_angle_gamma 90.00
_symmetry_space_group_name_H-M 'P m -3 m'
_symmetry_Int_Tables_number 221
_symmetry_space_group_name_Hall '-P 4 2 3'
loop_
_atom_site_label
_atom_site_fract_x
_atom_site_fract_y
_atom_site_fract_z
Zr1 0.0000 0.0000 0.0000
Ti1 0.0000 0.5000 0.5000
N1 0.5000 0.5000 0.5000
```

Results
* raw total energy: -8.80 eV/atom
* total moment: 0.0000 μB per atom
* DOS at the Fermi energy: 5.47 states/eV per cell
* energy above the most stable polymorph in this dataset: 0.0000 eV per atom

# 2
The following is a DFT calculation (PBE-GGA) of Li3Zn5 after structural relaxation.

```
data_Li3Zn5
_chemical_formula_sum 'Li6 Zn10'
_cell_length_a 5.3470
_cell_length_b 10.0996
_cell_length_c 4.3287
_cell_angle_alpha 90.00
_cell_angle_beta 90.00
_cell_angle_gamma 90.00
_symmetry_space_group_name_H-M 'P b a m'
_symmetry_Int_Tables_number 55
_symmetry_space_group_name_Hall '-P 2 2ab'
loop_
_atom_site_label
_atom_site_fract_x
_atom_site_fract_y
_atom_site_fract_z
Li1 0.0000 0.0000 0.0000
Li2 0.1466 0.3682 0.5000
Zn1 0.0000 0.5000 0.0000
Zn2 0.1481 0.7417 0.0000
Zn3 0.1498 0.1112 0.5000
```

Results
* raw total energy: -1.66 eV/atom
* total moment: 0.0000 μB per atom
* DOS at the Fermi energy: 3.57 states/eV per cell
* energy of formation from the pure elements: -0.148 eV per atom
* energy above the most stable polymorph in this dataset: 0.0000 eV per atom

# 3
The following is a DFT calculation (PBE-GGA) of Tb6PmHo2Sc after structural relaxation.

```
data_Tb6PmHo2Sc
_chemical_formula_sum 'Tb24 Pm4 Ho8 Sc4'
_cell_length_a 9.1074
_cell_length_b 14.8975
_cell_length_c 9.3777
_cell_angle_alpha 90.00
_cell_angle_beta 96.51
_cell_angle_gamma 90.00
_symmetry_space_group_name_H-M 'C 1 2/c 1'
_symmetry_Int_Tables_number 15
_symmetry_space_group_name_Hall '-C 2yc'
loop_
_atom_site_label
_atom_site_fract_x
_atom_site_fract_y
_atom_site_fract_z
Tb1 0.0595 0.1846 0.4452
Tb2 0.0988 0.3908 0.6147
Tb3 0.2184 0.2212 0.8106
Pm1 0.0000 0.0249 0.7500
Ho1 0.2446 0.4484 0.9512
Sc1 0.0000 0.4151 0.2500
```

Results
* raw total energy: -4.67 eV/atom
* total moment: 0.0000 μB per atom
* DOS at the Fermi energy: 55.06 states/eV per cell
* energy of formation from the pure elements: 0.127 eV per atom

> Look up the raw total energy of the third one.

-4.67 eV/atom

> The lowest DOS at the Fermi energy belongs to which entry?

Li3Zn5

> Among the records above, which one has the highest DOS at the Fermi energy?

Tb6PmHo2Sc